[1]
LiHfSN2 | PBE | relaxed

Unit cell a=4.2163 b=4.2163 c=5.0816 alpha=90.00 beta=90.00 gamma=90.00
Site moments in Bohr magnetons follow the coordinates.
Element x y z (fractional)
S 0.0000 0.0000 0.5000  0.28
Li 0.5000 0.5000 0.5000  0.00
Hf 0.0000 0.0000 0.0000  -0.06
N 0.0000 0.5000 0.0000  0.79
N 0.5000 0.0000 0.0000  0.79

E_form (uncorrected) = -0.091 eV per atom
space-group type = No. 123

[2]
CsUAuSe3 | PBE | relaxed

Unit cell a=8.3784 b=8.3784 c=10.8045 alpha=90.00 beta=90.00 gamma=150.66
Site moments in Bohr magnetons follow the coordinates.
Element x y z (fractional)
Cs 0.2523 0.7477 0.2500  0.00
Cs 0.7477 0.2523 0.7500  0.00
U 0.0000 0.0000 0.5000  2.15
U 0.0000 0.0000 0.0000  2.15
Au 0.5436 0.4564 0.2500  -0.03
Au 0.4564 0.5436 0.7500  -0.03
Se 0.9400 0.0600 0.2500  -0.06
Se 0.0600 0.9400 0.7500  -0.06
Se 0.6177 0.3823 0.4612  -0.06
Se 0.3823 0.6177 0.5388  -0.06
Se 0.6177 0.3823 0.0388  -0.06
Se 0.3823 0.6177 0.9612  -0.06

E_form (uncorrected) = -1.016 eV per atom
space-group type = No. 63

[3]
LaDy2Pd | PBE | relaxed

Unit cell a=6.5980 b=7.1678 c=9.8253 alpha=90.00 beta=90.00 gamma=90.00
Element x y z (fractional)
La 0.6376 0.5190 0.2500
La 0.8624 0.0190 0.2500
La 0.3624 0.4810 0.7500
La 0.1376 0.9810 0.7500
Dy 0.1702 0.6771 0.0615
Dy 0.3298 0.1771 0.4385
Dy 0.8298 0.3229 0.5615
Dy 0.6702 0.8229 0.9385
Dy 0.8298 0.3229 0.9385
Dy 0.6702 0.8229 0.5615
Dy 0.1702 0.6771 0.4385
Dy 0.3298 0.1771 0.0615
Pd 0.0776 0.3842 0.2500
Pd 0.4224 0.8842 0.2500
Pd 0.9224 0.6158 0.7500
Pd 0.5776 0.1158 0.7500

space-group type = No. 62
calculated formation energy = -175.0 kJ/mol of formula units

[4]
MgH2Pt4 | PBE | relaxed

Unit cell a=4.6323 b=4.6323 c=5.7099 alpha=66.07 beta=66.07 gamma=90.00
Element x y z (fractional)
H 0.5604 0.5604 0.8791
H 0.4396 0.4396 0.1209
Mg 0.0000 0.0000 0.0000
Pt 0.7272 0.7272 0.5456
Pt 0.2728 0.2728 0.4544
Pt 0.0000 0.5000 0.0000
Pt 0.5000 0.0000 0.0000

final energy = -27.79 eV per formula unit
space-group type = No. 139

[5]
Ce2CdAg2 | PBE | relaxed

Unit cell a=5.8595 b=6.0343 c=9.2029 alpha=64.23 beta=71.44 gamma=60.95
Site moments in Bohr magnetons follow the coordinates.
Element x y z (fractional)
Ce 0.5021 0.8410 0.8516  1.01
Ce 0.8052 0.3410 0.3516  1.01
Ce 0.4979 0.1590 0.1484  1.01
Ce 0.1948 0.6590 0.6484  1.01
Cd 0.1909 0.7500 0.2500  0.01
Cd 0.8091 0.2500 0.7500  0.01
Ag 0.2730 0.2313 0.5063  0.02
Ag 0.0107 0.2687 0.9937  0.02
Ag 0.7270 0.7687 0.4937  0.02
Ag 0.9893 0.7313 0.0063  0.02

space-group type = No. 15
calculated formation energy = -50.3 kJ/mol of formula units

[6]
K3TaBr6 | PBE | relaxed

Unit cell a=8.0927 b=8.0927 c=8.0927 alpha=60.00 beta=60.00 gamma=60.00
Site moments in Bohr magnetons follow the coordinates.
Element x y z (fractional)
K 0.7500 0.7500 0.7500  0.00
K 0.2500 0.2500 0.2500  0.00
K 0.5000 0.5000 0.5000  0.00
Ta 0.0000 0.0000 0.0000  1.35
Br 0.2293 0.7707 0.2293  0.00
Br 0.7707 0.2293 0.2293  0.00
Br 0.7707 0.2293 0.7707  0.00
Br 0.2293 0.2293 0.7707  0.00
Br 0.7707 0.7707 0.2293  0.00
Br 0.2293 0.7707 0.7707  0.00

E_form (uncorrected) = -1.225 eV per atom
space-group type = No. 225

[7]
Sc12Co6Bi | PBE | relaxed

Unit cell a=7.8268 b=7.8268 c=7.8268 alpha=109.47 beta=109.47 gamma=109.47
Element x y z (fractional)
Sc 0.3001 0.0989 0.7988
Sc 0.3001 0.5013 0.2012
Sc 0.6999 0.4987 0.7988
Sc 0.6999 0.9011 0.2012
Sc 0.0989 0.7988 0.3001
Sc 0.5013 0.2012 0.3001
Sc 0.4987 0.7988 0.6999
Sc 0.9011 0.2012 0.6999
Sc 0.7988 0.3001 0.0989
Sc 0.2012 0.3001 0.5013
Sc 0.7988 0.6999 0.4987
Sc 0.2012 0.6999 0.9011
Co 0.3806 0.5000 0.8806
Co 0.6194 0.5000 0.1194
Co 0.5000 0.8806 0.3806
Co 0.5000 0.1194 0.6194
Co 0.8806 0.3806 0.5000
Co 0.1194 0.6194 0.5000
Bi 0.0000 0.0000 0.0000

space-group type = No. 204
calculated formation energy = -633.5 kJ/mol of formula units

[8]
Ba2InBiRh | PBE | relaxed

Unit cell a=5.9126 b=5.9126 c=5.1939 alpha=90.00 beta=90.00 gamma=90.00
Element x y z (fractional)
In 0.0000 0.0000 0.5000
Rh 0.0000 0.0000 0.0000
Bi 0.5000 0.5000 0.5000
Ba 0.0000 0.5000 0.0000
Ba 0.5000 0.0000 0.0000

space-group type = No. 123
calculated formation energy = -221.6 kJ/mol of formula units

| no. | calculated density (Mg/m³) |
| --- | --- |
| 1 | 4.5 |
| 2 | 7.2 |
| 3 | 8.2 |
| 4 | 13.3 |
| 5 | 8.0 |
| 6 | 3.4 |
| 7 | 5.0 |
| 8 | 6.4 |